Below is a relaxed structure of MnZnHg, with properties calculated at the PBE level.

Lattice parameters (Å, degrees): 4.544 4.544 2.913 90.00 90.00 120.00
Element x y z (fractional)
Mn1 0.000 0.000 0.000
Zn1 0.667 0.333 0.494
Hg1 0.333 0.667 0.504

Energy relative to the elements: 0.25 eV per atom
ΔE to the lowest computed polymorph: 46 meV per atom
DFT total energy: -3.33 eV/atom

***

Below is a relaxed structure of Mn2Zn2Hg, with properties calculated at the PBE level.

Lattice parameters (Å, degrees): 6.535 6.535 6.535 146.10 146.10 48.70
Element x y z (fractional)
Mn1 0.250 0.750 0.500
Mn2 0.750 0.250 0.500
Zn1 0.104 0.104 0.000
Zn2 0.896 0.896 0.000
Hg1 0.500 0.500 0.000

Energy relative to the elements: 0.37 eV per atom
ΔE to the lowest computed polymorph: 178 meV per atom
DFT total energy: -3.87 eV/atom

***

Below is a relaxed structure of MnZnHg, with properties calculated at the PBE level.

Lattice parameters (Å, degrees): 3.070 3.070 6.574 90.00 90.00 120.00
Element x y z (fractional)
Mn1 0.000 0.000 0.000
Zn1 0.333 0.667 0.300
Hg1 0.667 0.333 0.656

Energy relative to the elements: 0.28 eV per atom
ΔE to the lowest computed polymorph: 80 meV per atom
DFT total energy: -3.30 eV/atom

***

Below is a relaxed structure of Mn2Zn2Hg, with properties calculated at the PBE level.

Lattice parameters (Å, degrees): 7.449 7.449 2.919 90.00 90.00 90.00
Element x y z (fractional)
Mn1 0.126 0.374 0.000
Mn2 0.374 0.874 0.000
Mn3 0.626 0.126 0.000
Mn4 0.874 0.626 0.000
Zn1 0.170 0.670 0.500
Zn2 0.330 0.170 0.500
Zn3 0.670 0.830 0.500
Zn4 0.830 0.330 0.500
Hg1 0.000 0.000 0.000
Hg2 0.500 0.500 0.000

Energy relative to the elements: 0.27 eV per atom
ΔE to the lowest computed polymorph: 75 meV per atom
DFT total energy: -3.97 eV/atom

***

Below is a relaxed structure of MnZnHg3, with properties calculated at the PBE level.

Lattice parameters (Å, degrees): 5.299 5.299 5.299 90.00 90.00 90.00
Element x y z (fractional)
Mn1 0.000 0.000 0.000
Zn1 0.500 0.500 0.500
Hg1 0.000 0.000 0.500
Hg2 0.000 0.500 0.000
Hg3 0.500 0.000 0.000

Energy relative to the elements: 0.49 eV per atom
ΔE to the lowest computed polymorph: 0 meV per atom
DFT total energy: -1.78 eV/atom

***

Below is a relaxed structure of MnZnHg, with properties calculated at the PBE level.

Lattice parameters (Å, degrees): 4.409 4.409 4.409 60.00 60.00 60.00
Element x y z (fractional)
Mn1 0.000 0.000 0.000
Zn1 0.250 0.250 0.250
Hg1 0.750 0.750 0.750

Energy relative to the elements: 0.41 eV per atom
ΔE to the lowest computed polymorph: 208 meV per atom
DFT total energy: -3.17 eV/atom

***

Below is a relaxed structure of Mn3ZnHg, with properties calculated at the PBE level.

Lattice parameters (Å, degrees): 5.064 5.064 5.064 90.00 90.00 90.00
Element x y z (fractional)
Mn1 0.000 0.000 0.500
Mn2 0.000 0.500 0.000
Mn3 0.500 0.000 0.000
Zn1 0.500 0.500 0.500
Hg1 0.000 0.000 0.000

Energy relative to the elements: 1.23 eV per atom
ΔE to the lowest computed polymorph: 353 meV per atom
DFT total energy: -4.59 eV/atom

***

Below is a relaxed structure of Mn3ZnHg, with properties calculated at the PBE level.

Lattice parameters (Å, degrees): 4.628 4.628 4.628 90.00 90.00 90.00
Element x y z (fractional)
Mn1 0.000 0.000 0.500
Mn2 0.000 0.500 0.000
Mn3 0.500 0.000 0.000
Zn1 0.000 0.000 0.000
Hg1 0.500 0.500 0.500

Energy relative to the elements: 0.88 eV per atom
ΔE to the lowest computed polymorph: 0 meV per atom
DFT total energy: -4.94 eV/atom